# PBEsol ReHg, relaxed
# ΔE_f   1.382 eV/atom
# Crystal system   hexagonal
# D(E_F)   2.52 states/eV/f.u.
# DFT total energy   -5.5670 eV per atom
data_ReHg
_cell_length_a 4.3899
_cell_length_b 4.3899
_cell_length_c 4.8618
_cell_angle_alpha 90.00
_cell_angle_beta 90.00
_cell_angle_gamma 120.00
_symmetry_space_group_name_H-M 'P 63/m m c'
_symmetry_Int_Tables_number 194
_symmetry_space_group_name_Hall '-P 6c 2c'
loop_
_atom_site_label
_atom_site_fract_x
_atom_site_fract_y
_atom_site_fract_z
_atom_site_occupancy
Re1 0.0000 0.0000 0.0000 1
Hg1 0.3333 0.6667 0.2500 1